No. 1
Entry from Alexandria: crystalline Ac6OsPdRh2 at its relaxed geometry (PBE).

Computed properties:
The calculated formation energy is -0.46 eV/atom. The calculation puts the magnetization at 0.0 μB/f.u. The density of states at the Fermi level is 4.45 states/eV/f.u.

The structure in POSCAR format:
```
Ac6OsPdRh2
1.0
7.512 0.009 0.000
3.764 6.503 -0.001
3.758 2.170 6.897
Ac Rh Pd Os
6 2 1 1
direct
0.578 0.257 0.244
0.255 0.921 0.245
0.920 0.580 0.244
0.744 0.093 0.758
0.094 0.405 0.757
0.406 0.742 0.758
0.997 0.997 0.010
0.500 0.500 0.500
0.833 0.834 0.499
0.333 0.333 0.001
```


No. 2
Entry from Alexandria: crystalline Ac6OsPd2Ru at its relaxed geometry (PBE).

Computed properties:
The calculated formation energy is -0.34 eV/atom. The calculation puts the magnetization at 0.0 μB/f.u. The density of states at the Fermi level is 4.72 states/eV/f.u.

The structure in POSCAR format:
```
Ac6OsPd2Ru
1.0
-3.289 -5.934 -3.320
4.176 -5.874 -2.256
-0.564 -6.926 4.340
Ac Os Pd Ru
6 1 2 1
direct
0.733 0.081 0.754
0.932 0.583 0.254
0.083 0.432 0.753
0.582 0.231 0.255
0.230 0.932 0.255
0.432 0.732 0.753
0.830 0.830 0.511
0.504 0.504 0.488
0.005 0.005 0.986
0.331 0.331 0.006
```


No. 3
Entry from Alexandria: crystalline AcSi3OsPd at its relaxed geometry (PBE).

Computed properties:
The formation energy (no corrections) comes out at -422 meV per atom. The calculation puts the magnetization at 0.0 μB/f.u. The density of states at the Fermi level is 2.64 states/eV/f.u.

The structure in POSCAR format:
```
AcSi3OsPd
1.0
-5.697 1.401 2.011
-2.506 -2.709 -5.214
0.954 -4.245 5.660
Pd Si Ac Os
2 6 2 2
direct
0.750 0.545 0.089
0.250 0.455 0.911
0.250 0.278 0.556
0.000 0.797 0.000
0.750 0.722 0.444
0.500 0.797 0.000
0.000 0.203 0.000
0.500 0.203 0.000
0.250 0.724 0.448
0.750 0.276 0.552
0.250 0.102 0.204
0.750 0.898 0.796
```